1.
Entry from OQMD: an optimized crystal structure of SrLuB (PBE).

a b c (Å): 4.6002 4.6002 4.6002
angles (deg): 60.00 60.00 60.00
Closest atoms and distances in Å follow each position.
Fractional coordinates of all 3 atoms:
Sr 0.0000 0.0000 0.0000  4 Lu 2.82
Lu 0.7500 0.7500 0.7500  4 B 2.82, 4 Sr 2.82
B 0.5000 0.5000 0.5000  4 Lu 2.82

Raw total energy: -3.1690 eV per atom
ΔE to the lowest computed polymorph: 0 meV/atom
Magnetization: 0.00 μB/cell
Space group: F-43m, No. 216


2.
Entry from OQMD: an optimized crystal structure of PaAlGe2 (PBE).

a b c (Å): 4.3807 4.3807 4.0616
angles (deg): 90.00 90.00 90.00
Closest atoms and distances in Å follow each position.
Fractional coordinates of all 4 atoms:
Pa 0.0000 0.0000 0.0000  8 Ge 2.99, 4 Al 3.10
Al 0.5000 0.5000 0.0000  8 Ge 2.99, 4 Pa 3.10
Ge 0.0000 0.5000 0.5000  4 Al 2.99, 4 Pa 2.99, 4 Ge 3.10
Ge 0.5000 0.0000 0.5000  4 Al 2.99, 4 Pa 2.99, 4 Ge 3.10

Raw total energy: -6.0528 eV per atom
Magnetization: 0.00 μB/cell
Space group: P4/mmm, No. 123


3.
Entry from OQMD: an optimized crystal structure of Tb3NiSn3Pt2 (PBE).

a b c (Å): 7.5183 7.5183 3.9392
angles (deg): 90.00 90.00 120.00
Closest atoms and distances in Å follow each position.
Fractional coordinates of all 9 atoms:
Tb 0.0000 0.5944 0.0000  4 Pt 3.02, 1 Ni 3.05, 6 Sn 3.26-3.31
Tb 0.4056 0.4056 0.0000  4 Pt 3.02, 1 Ni 3.05, 6 Sn 3.26-3.31
Tb 0.5944 0.0000 0.0000  4 Pt 3.02, 1 Ni 3.05, 6 Sn 3.26-3.31
Ni 0.0000 0.0000 0.0000  6 Sn 2.71
Sn 0.0000 0.2483 0.5000  2 Ni 2.71, 2 Pt 2.88
Sn 0.2483 0.0000 0.5000  2 Ni 2.71, 2 Pt 2.88
Sn 0.7517 0.7517 0.5000  2 Ni 2.71, 2 Pt 2.88
Pt 0.3333 0.6667 0.5000  3 Sn 2.88, 6 Tb 3.02
Pt 0.6667 0.3333 0.5000  3 Sn 2.88, 6 Tb 3.02

Raw total energy: -5.8268 eV per atom
Magnetization: 0.00 μB/cell
Space group: P-62m, No. 189


4.
Entry from OQMD: an optimized crystal structure of Cd2ReB (PBE).

a b c (Å): 4.4483 4.4483 4.4483
angles (deg): 60.00 60.00 60.00
Closest atoms and distances in Å follow each position.
Fractional coordinates of all 4 atoms:
Cd 0.0000 0.0000 0.0000  4 Cd 2.72, 4 Re 2.72
Cd 0.2500 0.2500 0.2500  4 B 2.72, 4 Cd 2.72
Re 0.7500 0.7500 0.7500  4 B 2.72, 4 Cd 2.72
B 0.5000 0.5000 0.5000  4 Re 2.72, 4 Cd 2.72

Raw total energy: -3.9102 eV per atom
Magnetization: 0.01 μB/cell
Space group: F-43m, No. 216


5.
Entry from OQMD: an optimized crystal structure of AgTeO6 (PBE).

a b c (Å): 5.2521 5.2521 5.2521
angles (deg): 60.00 60.00 60.00
Closest atoms and distances in Å follow each position.
Fractional coordinates of all 8 atoms:
Ag 0.0000 0.0000 0.0000  12 O 2.63
Te 0.2500 0.2500 0.2500  6 O 1.93
O 0.5092 0.5092 0.9908  1 Te 1.93
O 0.5092 0.9908 0.5092  1 Te 1.93
O 0.5092 0.9908 0.9908  1 Te 1.93
O 0.9908 0.5092 0.5092  1 Te 1.93
O 0.9908 0.5092 0.9908  1 Te 1.93
O 0.9908 0.9908 0.5092  1 Te 1.93

Raw total energy: -3.9779 eV per atom
Space group: F-43m, No. 216


6.
Entry from OQMD: an optimized crystal structure of DyErLu2 (PBE).

a b c (Å): 7.0864 7.0864 5.5223
angles (deg): 90.00 90.00 120.00
Closest atoms and distances in Å follow each position.
Fractional coordinates of all 8 atoms:
Dy 0.1666 0.8334 0.7500  8 Lu 3.44-3.54, 4 Er 3.44-3.54
Dy 0.8334 0.1666 0.2500  8 Lu 3.44-3.54, 4 Er 3.44-3.54
Er 0.3338 0.6662 0.2500  8 Lu 3.43-3.55, 4 Dy 3.44-3.54
Er 0.6662 0.3338 0.7500  8 Lu 3.43-3.55, 4 Dy 3.44-3.54
Lu 0.1676 0.3337 0.7500  4 Lu 3.43-3.55, 4 Er 3.43-3.55, 4 Dy 3.44-3.54
Lu 0.3337 0.1676 0.2500  4 Lu 3.43-3.55, 4 Er 3.43-3.55, 4 Dy 3.44-3.54
Lu 0.6663 0.8324 0.7500  4 Lu 3.43-3.55, 4 Er 3.43-3.55, 4 Dy 3.44-3.54
Lu 0.8324 0.6663 0.2500  4 Lu 3.43-3.55, 4 Er 3.43-3.55, 4 Dy 3.44-3.54

Raw total energy: -4.5532 eV per atom
Energy of formation: 0.000 eV/atom
Magnetization: 0.04 μB/cell
Space group: Cmcm, No. 63


7.
Entry from OQMD: an optimized crystal structure of Nd2Er2CF5 (PBE).

a b c (Å): 7.6360 7.6360 7.2203
angles (deg): 109.04 109.04 26.74
Closest atoms and distances in Å follow each position.
Fractional coordinates of all 10 atoms:
Nd 0.0014 0.0014 0.2435  2 C 2.49, 4 F 2.56-2.60
Nd 0.9986 0.9986 0.7565  2 C 2.49, 4 F 2.56-2.60
Er 0.3355 0.3355 0.8812  5 F 2.24-2.40, 1 C 2.30
Er 0.6645 0.6645 0.1188  5 F 2.24-2.40, 1 C 2.30
C 0.5000 0.5000 0.0000  2 Er 2.30, 4 Nd 2.49
F 0.1806 0.1806 0.9161  3 Er 2.36-2.40, 1 Nd 2.56
F 0.1857 0.1857 0.3210  2 Er 2.24
F 0.5000 0.5000 0.5000  4 Nd 2.56
F 0.8143 0.8143 0.6790  2 Er 2.24
F 0.8194 0.8194 0.0839  3 Er 2.36-2.40, 1 Nd 2.56

Raw total energy: -6.3642 eV per atom
Magnetization: 0.00 μB/cell
Space group: C2/m, No. 12


8.
Entry from OQMD: an optimized crystal structure of ZnCuNiAs (PBE).

a b c (Å): 4.2317 4.2317 4.2317
angles (deg): 60.00 60.00 60.00
Closest atoms and distances in Å follow each position.
Fractional coordinates of all 4 atoms:
Zn 0.0000 0.0000 0.0000  4 Ni 2.59, 4 Cu 2.59
Cu 0.2500 0.2500 0.2500  4 As 2.59, 4 Zn 2.59
Ni 0.7500 0.7500 0.7500  4 As 2.59, 4 Zn 2.59
As 0.5000 0.5000 0.5000  4 Ni 2.59, 4 Cu 2.59

Raw total energy: -3.7886 eV per atom
ΔE to the lowest computed polymorph: 0 meV/atom
Magnetization: 0.00 μB/cell
Space group: F-43m, No. 216


9.
Entry from OQMD: an optimized crystal structure of ScBeFeSb (PBE).

a b c (Å): 4.3472 4.3472 4.3472
angles (deg): 60.00 60.00 60.00
Closest atoms and distances in Å follow each position.
Fractional coordinates of all 4 atoms:
Sc 0.0000 0.0000 0.0000  4 Fe 2.66, 4 Be 2.66
Be 0.7500 0.7500 0.7500  4 Sb 2.66, 4 Sc 2.66
Fe 0.2500 0.2500 0.2500  4 Sb 2.66, 4 Sc 2.66
Sb 0.5000 0.5000 0.5000  4 Be 2.66, 4 Fe 2.66

Raw total energy: -5.6670 eV per atom
ΔE to the lowest computed polymorph: 0 meV/atom
Magnetization: 0.00 μB/cell
Space group: F-43m, No. 216


10.
Entry from OQMD: an optimized crystal structure of Y2ErAl3CuSi2 (PBE).

a b c (Å): 4.1662 6.9131 6.9131
angles (deg): 119.93 90.00 90.00
Closest atoms and distances in Å follow each position.
Fractional coordinates of all 9 atoms:
Y 0.0000 0.2032 0.7968  1 Cu 2.82, 4 Si 2.96
Y 0.0000 0.7968 0.2032  1 Cu 2.82, 4 Si 2.96
Er 0.0000 0.6097 0.6097  1 Cu 2.79, 4 Si 2.95
Al 0.5000 0.2045 0.4413  2 Cu 2.65, 2 Si 2.69-2.72, 2 Al 2.83-2.85
Al 0.5000 0.4413 0.2045  2 Cu 2.65, 2 Si 2.69-2.72, 2 Al 2.83-2.85
Al 0.5000 0.9658 0.9658  2 Cu 2.67, 2 Si 2.69, 2 Al 2.85
Cu 0.0000 0.2065 0.2065  6 Al 2.65-2.67, 1 Er 2.79, 2 Y 2.82
Si 0.5000 0.5375 0.8685  3 Al 2.69-2.72, 2 Er 2.95, 4 Y 2.96
Si 0.5000 0.8685 0.5375  3 Al 2.69-2.72, 2 Er 2.95, 4 Y 2.96

Raw total energy: -5.4504 eV per atom
Magnetization: 0.00 μB/cell
Space group: Amm2, No. 38


11.
Entry from OQMD: an optimized crystal structure of TaHg4P3 (PBE).

a b c (Å): 3.3390 4.5888 12.3782
angles (deg): 79.39 82.48 90.00
Closest atoms and distances in Å follow each position.
Fractional coordinates of all 8 atoms:
Ta 0.0000 0.0000 0.0000  6 P 2.56-2.57
Hg 0.1232 0.3890 0.7473  4 Hg 3.10-3.34, 4 P 3.17-3.20, 1 Ta 3.28
Hg 0.1973 0.9701 0.5716  8 Hg 3.10-3.34
Hg 0.7780 0.5420 0.4284  8 Hg 3.10-3.34
Hg 0.8758 0.1376 0.2526  4 Hg 3.10-3.34, 4 P 3.16-3.20, 1 Ta 3.28
P 0.4358 0.6922 0.1328  1 P 2.22
P 0.4999 0.4238 0.9999  2 P 2.22
P 0.5641 0.8244 0.8671  1 P 2.22

Raw total energy: -3.7171 eV per atom
ΔE to the lowest computed polymorph: 0 meV/atom
Magnetization: 0.01 μB/cell
Space group: P1, No. 1


12.
Entry from OQMD: an optimized crystal structure of CsPrZnO3 (PBE).

a b c (Å): 6.8302 6.8302 9.5703
angles (deg): 90.00 90.00 148.60
Closest atoms and distances in Å follow each position.
Fractional coordinates of all 12 atoms:
Cs 0.2307 0.7693 0.7500  8 O 3.15-3.43, 2 Zn 3.45
Cs 0.7693 0.2307 0.2500  8 O 3.15-3.43, 2 Zn 3.45
Pr 0.5000 0.5000 0.0000  6 O 2.42-2.44
Pr 0.5000 0.5000 0.5000  6 O 2.42-2.44
Zn 0.0477 0.9523 0.2500  4 O 1.93-2.16
Zn 0.9523 0.0477 0.7500  4 O 1.93-2.16
O 0.1079 0.8921 0.0664  1 Zn 1.93
O 0.1079 0.8921 0.4336  1 Zn 1.93
O 0.4633 0.5367 0.2500  2 Zn 2.16
O 0.5367 0.4633 0.7500  2 Zn 2.16
O 0.8921 0.1079 0.5664  1 Zn 1.93
O 0.8921 0.1079 0.9336  1 Zn 1.93

Raw total energy: -5.7409 eV per atom
Magnetization: 0.00 μB/cell
Space group: Cmcm, No. 63


13.
Entry from OQMD: an optimized crystal structure of Tl2Pd2O5 (PBE).

a b c (Å): 3.6676 3.6676 9.3371
angles (deg): 90.00 90.00 90.00
Closest atoms and distances in Å follow each position.
Fractional coordinates of all 9 atoms:
Tl 0.0000 0.0000 0.2340  5 O 2.19-2.23
Tl 0.0000 0.0000 0.7660  5 O 2.19-2.23
Pd 0.5000 0.5000 0.0000  4 O 2.59
Pd 0.5000 0.5000 0.5000  8 O 2.19
O 0.0000 0.0000 0.0000  2 Tl 2.19
O 0.0000 0.5000 0.3709  2 Pd 2.19, 2 Tl 2.23, 1 O 2.41
O 0.0000 0.5000 0.6291  2 Pd 2.19, 2 Tl 2.23, 1 O 2.41
O 0.5000 0.0000 0.3709  2 Pd 2.19, 2 Tl 2.23, 1 O 2.41
O 0.5000 0.0000 0.6291  2 Pd 2.19, 2 Tl 2.23, 1 O 2.41

Raw total energy: -4.4494 eV per atom
ΔE to the lowest computed polymorph: 347 meV/atom
Space group: P4/mmm, No. 123


14.
Entry from OQMD: an optimized crystal structure of La2PrSi4Au4 (PBE).

a b c (Å): 13.0312 13.0312 13.0312
angles (deg): 160.84 160.80 27.25
Closest atoms and distances in Å follow each position.
Fractional coordinates of all 11 atoms:
La 0.1486 0.1486 0.0000  6 Si 3.27-3.36, 8 Au 3.35-3.37
La 0.8514 0.8514 0.0000  6 Si 3.27-3.36, 8 Au 3.35-3.37
Pr 0.0000 0.5000 0.5000  4 Au 3.24, 8 Si 3.29
Si 0.3072 0.3072 0.0000  5 Au 2.48-2.62
Si 0.4528 0.9528 0.5000  1 Si 2.39, 2 Au 2.48
Si 0.5472 0.0472 0.5000  1 Si 2.39, 2 Au 2.48
Si 0.6928 0.6928 0.0000  5 Au 2.48-2.62
Au 0.2495 0.7495 0.5000  4 Si 2.61-2.62
Au 0.4051 0.4051 0.0000  3 Si 2.48
Au 0.5949 0.5949 0.0000  3 Si 2.48
Au 0.7505 0.2505 0.5000  4 Si 2.61-2.62

Raw total energy: -5.2609 eV per atom
Magnetization: 0.00 μB/cell
Space group: Immm, No. 71


15.
Entry from OQMD: an optimized crystal structure of LuNiBOs (PBE).

a b c (Å): 4.2347 4.2347 4.2347
angles (deg): 60.00 60.00 60.00
Closest atoms and distances in Å follow each position.
Fractional coordinates of all 4 atoms:
Lu 0.0000 0.0000 0.0000  4 Ni 2.59, 4 B 2.59
Ni 0.2500 0.2500 0.2500  4 Os 2.59, 4 Lu 2.59
B 0.7500 0.7500 0.7500  4 Os 2.59, 4 Lu 2.59
Os 0.5000 0.5000 0.5000  4 B 2.59, 4 Ni 2.59

Raw total energy: -6.8265 eV per atom
ΔE to the lowest computed polymorph: 0 meV/atom
Magnetization: 0.03 μB/cell
Space group: F-43m, No. 216


16.
Entry from OQMD: an optimized crystal structure of K3NdP2O8 (PBE).

a b c (Å): 7.3744 5.6301 9.5154
angles (deg): 90.00 90.44 90.00
Closest atoms and distances in Å follow each position.
Fractional coordinates of all 28 atoms:
K 0.0062 0.2500 0.1914  9 O 2.69-2.97
K 0.1362 0.7500 0.4077  3 O 2.63-2.87
K 0.3014 0.2500 0.9185  7 O 2.63-2.82
K 0.6986 0.7500 0.0815  7 O 2.63-2.82
K 0.8638 0.2500 0.5923  3 O 2.63-2.87
K 0.9938 0.7500 0.8086  9 O 2.69-2.97
Nd 0.4953 0.7500 0.7069  7 O 2.33-2.53
Nd 0.5047 0.2500 0.2931  7 O 2.33-2.53
P 0.2616 0.7500 0.0860  4 O 1.53-1.56
P 0.3014 0.2500 0.5763  4 O 1.55-1.56
P 0.6986 0.7500 0.4237  4 O 1.55-1.56
P 0.7384 0.2500 0.9140  4 O 1.53-1.56
O 0.0542 0.7500 0.0981  1 P 1.53
O 0.2101 0.2500 0.4277  1 P 1.56
O 0.2442 0.0243 0.6586  1 P 1.55
O 0.2442 0.4757 0.6586  1 P 1.55
O 0.3237 0.7500 0.9303  1 P 1.55
O 0.3401 0.5258 0.1610  1 P 1.56
O 0.3401 0.9742 0.1610  1 P 1.56
O 0.4898 0.7500 0.4458  1 P 1.56
O 0.5102 0.2500 0.5542  1 P 1.56
O 0.6599 0.0258 0.8390  1 P 1.56
O 0.6599 0.4742 0.8390  1 P 1.56
O 0.6763 0.2500 0.0697  1 P 1.55
O 0.7558 0.5243 0.3414  1 P 1.55
O 0.7558 0.9757 0.3414  1 P 1.55
O 0.7899 0.7500 0.5723  1 P 1.56
O 0.9458 0.2500 0.9019  1 P 1.53

Raw total energy: -6.7479 eV per atom
Magnetization: 0.01 μB/cell
Space group: P2_1/m, No. 11


17.
Entry from OQMD: an optimized crystal structure of Ga2W8C3N3 (PBE).

a b c (Å): 2.9127 2.9127 25.6268
angles (deg): 90.00 90.00 120.00
Closest atoms and distances in Å follow each position.
Fractional coordinates of all 16 atoms:
Ga 0.3333 0.6667 0.2460  6 W 2.75-2.78, 6 Ga 2.91
Ga 0.6667 0.3333 0.7540  6 W 2.75-2.78, 6 Ga 2.91
W 0.0000 0.0000 0.1598  3 C 2.12
W 0.0000 0.0000 0.3309  3 N 2.18
W 0.0000 0.0000 0.6691  3 N 2.18
W 0.0000 0.0000 0.8402  3 C 2.12
W 0.3333 0.6667 0.0542  6 C 2.18-2.20
W 0.3333 0.6667 0.4429  6 N 2.23-2.24
W 0.6667 0.3333 0.5571  6 N 2.23-2.24
W 0.6667 0.3333 0.9458  6 C 2.18-2.20
C 0.0000 0.0000 0.0000  6 W 2.18
C 0.3333 0.6667 0.8906  6 W 2.12-2.20
C 0.6667 0.3333 0.1094  6 W 2.12-2.20
N 0.0000 0.0000 0.5000  6 W 2.23
N 0.3333 0.6667 0.6151  6 W 2.18-2.24
N 0.6667 0.3333 0.3849  6 W 2.18-2.24

Raw total energy: -9.9283 eV per atom
Magnetization: 0.01 μB/cell
Space group: P-3m1, No. 164


18.
Entry from OQMD: an optimized crystal structure of TaZnPd (PBE).

a b c (Å): 4.3274 4.3274 4.3274
angles (deg): 60.00 60.00 60.00
Closest atoms and distances in Å follow each position.
Fractional coordinates of all 3 atoms:
Ta 0.0000 0.0000 0.0000  4 Pd 2.65, 4 Zn 2.65
Zn 0.2500 0.2500 0.2500  4 Ta 2.65
Pd 0.7500 0.7500 0.7500  4 Ta 2.65

Raw total energy: -5.6583 eV per atom
Energy of formation: 0.439 eV/atom
Magnetization: 0.02 μB/cell
Space group: F-43m, No. 216


19.
Entry from OQMD: an optimized crystal structure of UTc2Ni (PBE).

a b c (Å): 4.0690 4.0690 3.7238
angles (deg): 90.00 90.00 90.00
Closest atoms and distances in Å follow each position.
Fractional coordinates of all 4 atoms:
U 0.0000 0.0000 0.0000  8 Tc 2.76, 4 Ni 2.88
Tc 0.0000 0.5000 0.5000  4 Ni 2.76, 4 U 2.76, 4 Tc 2.88
Tc 0.5000 0.0000 0.5000  4 Ni 2.76, 4 U 2.76, 4 Tc 2.88
Ni 0.5000 0.5000 0.0000  8 Tc 2.76, 4 U 2.88

Raw total energy: -9.5775 eV per atom
Energy of formation: -0.181 eV/atom
Magnetization: 0.00 μB/cell
Space group: P4/mmm, No. 123


20.
Entry from OQMD: an optimized crystal structure of YZnCoSb (PBE).

a b c (Å): 4.7775 4.7775 4.7775
angles (deg): 60.00 60.00 60.00
Closest atoms and distances in Å follow each position.
Fractional coordinates of all 4 atoms:
Y 0.0000 0.0000 0.0000  4 Zn 2.93, 4 Sb 2.93
Zn 0.7500 0.7500 0.7500  4 Co 2.93, 4 Y 2.93
Co 0.5000 0.5000 0.5000  4 Zn 2.93, 4 Sb 2.93
Sb 0.2500 0.2500 0.2500  4 Co 2.93, 4 Y 2.93

Raw total energy: -4.8437 eV per atom
ΔE to the lowest computed polymorph: 65 meV/atom
Magnetization: 0.99 μB/cell
Space group: F-43m, No. 216